The following is a PBE-GGA calculation of crystalline CrIn2Mo at its relaxed geometry, from the Alexandria database.

Geometry as POSCAR:
```
CrIn2Mo
1.0
2.976 0.000 0.000
0.000 4.096 0.000
0.000 0.000 6.056
Cr In Mo
1 2 1
Cartesian
0.000 0.000 0.000
1.488 2.048 1.513
1.488 2.048 4.543
0.000 0.000 3.028
```

Calculated values
Space-group type: Pmmm (47)
Formation enthalpy at 0 K (eV/atom): 0.43
Total magnetization (μB per cell): 3.62
ΔE to the lowest computed polymorph (meV per atom): 201



The following is a PBE-GGA calculation of crystalline DyEr6 at its relaxed geometry, from the Alexandria database.

Geometry as POSCAR:
```
DyEr6
1.0
6.424 0.000 0.000
0.000 6.424 0.000
0.000 0.000 10.848
Dy Er
2 12
Cartesian
1.606 4.818 0.000
4.818 1.606 0.000
0.524 3.736 3.932
0.524 5.900 6.916
1.606 1.606 1.529
1.606 1.606 9.319
2.688 3.736 6.916
2.688 5.900 3.932
3.736 0.524 6.916
3.736 2.688 3.932
4.818 4.818 1.529
4.818 4.818 9.319
5.900 0.524 3.932
5.900 2.688 6.916
```

Calculated values
Space-group type: P4/nbm (125)
Formation enthalpy at 0 K (eV/atom): 0.27
Total magnetization (μB per cell): 0.00
ΔE to the lowest computed polymorph (meV per atom): 0



The following is a PBE-GGA calculation of crystalline FeAs2SeS at its relaxed geometry, from the Alexandria database.

Geometry as POSCAR:
```
FeAs2SeS
1.0
4.649 0.000 0.000
0.000 4.649 0.000
0.000 0.000 4.502
Fe As Se S
1 2 1 1
Cartesian
0.000 0.000 0.000
0.000 2.325 0.000
2.325 0.000 0.000
0.000 0.000 2.251
2.325 2.325 2.251
```

Calculated values
Formation energy without anion corrections (eV/atom): 0.531
Space-group type: P4/mmm (123)
Total magnetization (μB per cell): 1.52
ΔE to the lowest computed polymorph (meV per atom): 0



no.,N(E_F) (states/eV per atom)
1,0.587
2,1.418
3,0.897